1.
CrRe: optimized geometry, GGA-PBE.

Lattice parameters (Å, degrees): 4.9676 4.9676 4.8260 90.00 90.00 90.00
Closest atoms and distances in Å follow each position.
Atoms (fractional coordinates):
Cr 0.2004 0.2004 0.0000  6 Re 2.41-2.54
Cr 0.2996 0.7004 0.5000  6 Re 2.41-2.54
Cr 0.7004 0.2996 0.5000  6 Re 2.41-2.54
Cr 0.7996 0.7996 0.0000  6 Re 2.41-2.54
Re 0.2030 0.2030 0.5000  6 Cr 2.41-2.54
Re 0.2970 0.7030 0.0000  6 Cr 2.41-2.54
Re 0.7030 0.2970 0.0000  6 Cr 2.41-2.54
Re 0.7970 0.7970 0.5000  6 Cr 2.41-2.54

* DFT total energy: -9.98 eV/atom
* SG: P4_2/mnm (136)
* V: 119.1 Å³ per cell
* crystal system: tetragonal

2.
Cr5Re24: optimized geometry, GGA-PBE.

Lattice parameters (Å, degrees): 8.3090 8.3090 8.3090 109.47 109.47 109.47
Closest atoms and distances in Å follow each position.
Atoms (fractional coordinates):
Cr 0.0000 0.0000 0.0000  4 Cr 2.96, 12 Re 2.99
Cr 0.0000 0.0000 0.3564  9 Re 2.72-2.90, 1 Cr 2.96
Cr 0.0000 0.3564 0.0000  9 Re 2.72-2.90, 1 Cr 2.96
Cr 0.3564 0.0000 0.0000  9 Re 2.72-2.90, 1 Cr 2.96
Cr 0.6436 0.6436 0.6436  9 Re 2.72-2.90, 1 Cr 2.96
Re 0.0000 0.3161 0.5984  7 Re 2.58-2.83, 1 Cr 2.72
Re 0.0000 0.5984 0.3161  7 Re 2.58-2.83, 1 Cr 2.72
Re 0.0000 0.6251 0.8074  6 Re 2.47-2.71
Re 0.0000 0.8074 0.6251  6 Re 2.47-2.71
Re 0.1823 0.3749 0.3749  6 Re 2.47-2.71
Re 0.1926 0.1926 0.8177  6 Re 2.47-2.71
Re 0.1926 0.8177 0.1926  6 Re 2.47-2.71
Re 0.2823 0.6839 0.6839  7 Re 2.58-2.83, 1 Cr 2.72
Re 0.3161 0.0000 0.5984  7 Re 2.58-2.83, 1 Cr 2.72
Re 0.3161 0.5984 0.0000  7 Re 2.58-2.83, 1 Cr 2.72
Re 0.3749 0.1823 0.3749  6 Re 2.47-2.71
Re 0.3749 0.3749 0.1823  6 Re 2.47-2.71
Re 0.4016 0.4016 0.7177  7 Re 2.58-2.83, 1 Cr 2.72
Re 0.4016 0.7177 0.4016  7 Re 2.58-2.83, 1 Cr 2.72
Re 0.5984 0.0000 0.3161  7 Re 2.58-2.83, 1 Cr 2.72
Re 0.5984 0.3161 0.0000  7 Re 2.58-2.83, 1 Cr 2.72
Re 0.6251 0.0000 0.8074  6 Re 2.47-2.71
Re 0.6251 0.8074 0.0000  6 Re 2.47-2.71
Re 0.6839 0.2823 0.6839  7 Re 2.58-2.83, 1 Cr 2.72
Re 0.6839 0.6839 0.2823  7 Re 2.58-2.83, 1 Cr 2.72
Re 0.7177 0.4016 0.4016  7 Re 2.58-2.83, 1 Cr 2.72
Re 0.8074 0.0000 0.6251  6 Re 2.47-2.71
Re 0.8074 0.6251 0.0000  6 Re 2.47-2.71
Re 0.8177 0.1926 0.1926  6 Re 2.47-2.71

* DFT total energy: -11.88 eV/atom
* SG: I-43m (217)
* V: 441.6 Å³ per cell
* crystal system: cubic

3.
CrRe: optimized geometry, GGA-PBE.

Lattice parameters (Å, degrees): 7.6030 7.6030 4.0818 90.00 90.00 90.00
Closest atoms and distances in Å follow each position.
Atoms (fractional coordinates):
Cr 0.0000 0.3369 0.0000  5 Cr 2.48-2.69, 6 Re 2.53-2.73
Cr 0.0000 0.6631 0.0000  5 Cr 2.48-2.69, 6 Re 2.53-2.73
Cr 0.1631 0.5000 0.5000  5 Cr 2.48-2.69, 6 Re 2.53-2.73
Cr 0.3369 0.0000 0.0000  5 Cr 2.48-2.69, 6 Re 2.53-2.73
Cr 0.5000 0.1631 0.5000  5 Cr 2.48-2.69, 6 Re 2.53-2.73
Cr 0.5000 0.8369 0.5000  5 Cr 2.48-2.69, 6 Re 2.53-2.73
Cr 0.6631 0.0000 0.0000  5 Cr 2.48-2.69, 6 Re 2.53-2.73
Cr 0.8369 0.5000 0.5000  5 Cr 2.48-2.69, 6 Re 2.53-2.73
Re 0.1672 0.1672 0.5000  6 Cr 2.53-2.73, 4 Re 2.54-2.71
Re 0.1672 0.8328 0.5000  6 Cr 2.53-2.73, 4 Re 2.54-2.71
Re 0.3328 0.3328 0.0000  6 Cr 2.53-2.73, 4 Re 2.54-2.71
Re 0.3328 0.6672 0.0000  6 Cr 2.53-2.73, 4 Re 2.54-2.71
Re 0.6672 0.3328 0.0000  6 Cr 2.53-2.73, 4 Re 2.54-2.71
Re 0.6672 0.6672 0.0000  6 Cr 2.53-2.73, 4 Re 2.54-2.71
Re 0.8328 0.1672 0.5000  6 Cr 2.53-2.73, 4 Re 2.54-2.71
Re 0.8328 0.8328 0.5000  6 Cr 2.53-2.73, 4 Re 2.54-2.71

* DFT total energy: -10.53 eV/atom
* SG: I4/mmm (139)
* V: 236.0 Å³ per cell
* crystal system: tetragonal

4.
CrRe2: optimized geometry, GGA-PBE.

Lattice parameters (Å, degrees): 5.7534 5.7534 5.7534 90.00 90.00 90.00
Closest atoms and distances in Å follow each position.
Atoms (fractional coordinates):
Cr 0.0000 0.0000 0.0000  6 Re 2.38
Cr 0.0000 0.5000 0.5000  6 Re 2.38
Cr 0.5000 0.0000 0.5000  6 Re 2.38
Cr 0.5000 0.5000 0.0000  6 Re 2.38
Re 0.1288 0.6288 0.8712  3 Cr 2.38, 1 Re 2.57
Re 0.1288 0.8712 0.3712  3 Cr 2.38, 1 Re 2.57
Re 0.3712 0.1288 0.8712  3 Cr 2.38, 1 Re 2.57
Re 0.3712 0.3712 0.3712  3 Cr 2.38, 1 Re 2.57
Re 0.6288 0.6288 0.6288  3 Cr 2.38, 1 Re 2.57
Re 0.6288 0.8712 0.1288  3 Cr 2.38, 1 Re 2.57
Re 0.8712 0.1288 0.6288  3 Cr 2.38, 1 Re 2.57
Re 0.8712 0.3712 0.1288  3 Cr 2.38, 1 Re 2.57

* DFT total energy: -10.38 eV/atom
* SG: Pa-3 (205)
* V: 190.4 Å³ per cell
* crystal system: cubic

5.
Cr2Re: optimized geometry, GGA-PBE.

Lattice parameters (Å, degrees): 9.1292 9.1292 4.6755 90.00 90.00 90.00
Closest atoms and distances in Å follow each position.
Atoms (fractional coordinates):
Cr 0.0666 0.2567 0.0000  5 Re 2.42-2.65, 5 Cr 2.45-2.67
Cr 0.0996 0.0996 0.5000  4 Re 2.46-2.67, 1 Cr 2.57
Cr 0.1860 0.8140 0.2541  2 Cr 2.30-2.38
Cr 0.1860 0.8140 0.7459  2 Cr 2.30-2.38
Cr 0.2433 0.5666 0.5000  5 Re 2.42-2.65, 5 Cr 2.45-2.67
Cr 0.2567 0.0666 0.0000  5 Re 2.42-2.65, 5 Cr 2.45-2.67
Cr 0.3140 0.3140 0.2459  2 Cr 2.30-2.38
Cr 0.3140 0.3140 0.7541  2 Cr 2.30-2.38
Cr 0.4004 0.5996 0.0000  4 Re 2.46-2.67, 1 Cr 2.57
Cr 0.4334 0.7567 0.5000  5 Re 2.42-2.65, 5 Cr 2.45-2.67
Cr 0.5666 0.2433 0.5000  5 Re 2.42-2.65, 5 Cr 2.45-2.67
Cr 0.5996 0.4004 0.0000  4 Re 2.46-2.67, 1 Cr 2.57
Cr 0.6860 0.6860 0.2459  2 Cr 2.30-2.38
Cr 0.6860 0.6860 0.7541  2 Cr 2.30-2.38
Cr 0.7433 0.9334 0.0000  5 Re 2.42-2.65, 5 Cr 2.45-2.67
Cr 0.7567 0.4334 0.5000  5 Re 2.42-2.65, 5 Cr 2.45-2.67
Cr 0.8140 0.1860 0.2541  2 Cr 2.30-2.38
Cr 0.8140 0.1860 0.7459  2 Cr 2.30-2.38
Cr 0.9004 0.9004 0.5000  4 Re 2.46-2.67, 1 Cr 2.57
Cr 0.9334 0.7433 0.0000  5 Re 2.42-2.65, 5 Cr 2.45-2.67
Re 0.0000 0.0000 0.0000  12 Cr 2.42-2.68
Re 0.0370 0.3618 0.5000  5 Cr 2.46-2.65, 1 Re 2.61
Re 0.1382 0.5370 0.0000  5 Cr 2.46-2.65, 1 Re 2.61
Re 0.3618 0.0370 0.5000  5 Cr 2.46-2.65, 1 Re 2.61
Re 0.4630 0.8618 0.0000  5 Cr 2.46-2.65, 1 Re 2.61
Re 0.5000 0.5000 0.5000  12 Cr 2.42-2.68
Re 0.5370 0.1382 0.0000  5 Cr 2.46-2.65, 1 Re 2.61
Re 0.6382 0.9630 0.5000  5 Cr 2.46-2.65, 1 Re 2.61
Re 0.8618 0.4630 0.0000  5 Cr 2.46-2.65, 1 Re 2.61
Re 0.9630 0.6382 0.5000  5 Cr 2.46-2.65, 1 Re 2.61

* DFT total energy: -10.51 eV/atom
* SG: P4_2/mnm (136)
* V: 389.7 Å³ per cell
* crystal system: tetragonal

6.
CrRe2: optimized geometry, GGA-PBE.

Lattice parameters (Å, degrees): 2.8030 2.8030 22.2301 90.00 90.00 90.00
Closest atoms and distances in Å follow each position.
Atoms (fractional coordinates):
Cr 0.0000 0.2500 0.3750  8 Re 2.58, 4 Cr 2.80
Cr 0.0000 0.7500 0.6250  8 Re 2.58, 4 Cr 2.80
Cr 0.5000 0.2500 0.1250  8 Re 2.58, 4 Cr 2.80
Cr 0.5000 0.7500 0.8750  8 Re 2.58, 4 Cr 2.80
Re 0.0000 0.2500 0.8008  4 Cr 2.58, 6 Re 2.66-2.80
Re 0.0000 0.2500 0.9492  4 Cr 2.58, 6 Re 2.66-2.80
Re 0.0000 0.7500 0.0508  4 Cr 2.58, 6 Re 2.66-2.80
Re 0.0000 0.7500 0.1992  4 Cr 2.58, 6 Re 2.66-2.80
Re 0.5000 0.2500 0.5508  4 Cr 2.58, 6 Re 2.66-2.80
Re 0.5000 0.2500 0.6992  4 Cr 2.58, 6 Re 2.66-2.80
Re 0.5000 0.7500 0.3008  4 Cr 2.58, 6 Re 2.66-2.80
Re 0.5000 0.7500 0.4492  4 Cr 2.58, 6 Re 2.66-2.80

* DFT total energy: -11.13 eV/atom
* SG: I4_1/amd (141)
* V: 174.7 Å³ per cell
* crystal system: tetragonal

7.
CrRe7: optimized geometry, GGA-PBE.

Lattice parameters (Å, degrees): 5.5043 5.5043 5.5043 60.00 60.00 60.00
Closest atoms and distances in Å follow each position.
Atoms (fractional coordinates):
Cr 0.0000 0.0000 0.0000  12 Re 2.75
Re 0.0000 0.0000 0.5000  10 Re 2.75, 2 Cr 2.75
Re 0.0000 0.5000 0.0000  10 Re 2.75, 2 Cr 2.75
Re 0.0000 0.5000 0.5000  10 Re 2.75, 2 Cr 2.75
Re 0.5000 0.0000 0.0000  10 Re 2.75, 2 Cr 2.75
Re 0.5000 0.0000 0.5000  10 Re 2.75, 2 Cr 2.75
Re 0.5000 0.5000 0.0000  10 Re 2.75, 2 Cr 2.75
Re 0.5000 0.5000 0.5000  12 Re 2.75

* DFT total energy: -12.01 eV/atom
* SG: Fm-3m (225)
* V: 117.9 Å³ per cell
* crystal system: cubic

8.
CrRe: optimized geometry, GGA-PBE.

Lattice parameters (Å, degrees): 2.9595 4.2575 8.4730 90.00 90.00 90.00
Closest atoms and distances in Å follow each position.
Atoms (fractional coordinates):
Cr 0.0000 0.2500 0.1386  2 Cr 2.40, 6 Re 2.60-2.62
Cr 0.0000 0.7500 0.8614  2 Cr 2.40, 6 Re 2.60-2.62
Cr 0.5000 0.2500 0.3614  2 Cr 2.40, 6 Re 2.60-2.62
Cr 0.5000 0.7500 0.6386  2 Cr 2.40, 6 Re 2.60-2.62
Re 0.0000 0.2500 0.6169  6 Cr 2.60-2.62, 4 Re 2.70-2.91
Re 0.0000 0.7500 0.3831  6 Cr 2.60-2.62, 4 Re 2.70-2.91
Re 0.5000 0.2500 0.8831  6 Cr 2.60-2.62, 4 Re 2.70-2.91
Re 0.5000 0.7500 0.1169  6 Cr 2.60-2.62, 4 Re 2.70-2.91

* DFT total energy: -11.00 eV/atom
* SG: Imma (74)
* V: 106.8 Å³ per cell
* crystal system: orthorhombic